# Bi2SbSe5

A geometry-optimized Bi2SbSe5 structure (PBE, the Alexandria database).

Cell and atoms, written as CIF:
```
data_Bi2SbSe5
_cell_length_a 5.7600
_cell_length_b 14.2314
_cell_length_c 13.4935
_cell_angle_alpha 90.00
_cell_angle_beta 90.00
_cell_angle_gamma 90.00
_space_group_name_H-M_alt 'C m c m'
_space_group_IT_number 63
_space_group_name_Hall '-C 2c 2'
loop_
_atom_site_label
_atom_site_type_symbol
_atom_site_fract_x
_atom_site_fract_y
_atom_site_fract_z
Bi1 Bi 0.0000 0.1579 0.0559
Sb1 Sb 0.0000 0.1861 0.7500
Se1 Se 0.0000 0.0475 0.6185
Se2 Se 0.0000 0.2724 0.2500
Se3 Se 0.0000 0.3166 0.5736
```



# Bi2SbSe

A geometry-optimized Bi2SbSe structure (PBE, the Alexandria database).

Cell and atoms, written as CIF:
```
data_Bi2SbSe
_cell_length_a 7.5987
_cell_length_b 7.5987
_cell_length_c 7.5987
_cell_angle_alpha 90.00
_cell_angle_beta 90.00
_cell_angle_gamma 90.00
_space_group_name_H-M_alt 'F m -3 m'
_space_group_IT_number 225
_space_group_name_Hall '-F 4 2 3'
loop_
_atom_site_label
_atom_site_type_symbol
_atom_site_fract_x
_atom_site_fract_y
_atom_site_fract_z
Bi1 Bi 0.2500 0.2500 0.2500
Sb1 Sb 0.0000 0.0000 0.0000
Se1 Se 0.0000 0.0000 0.5000
```



# Bi4SbSe3

A geometry-optimized Bi4SbSe3 structure (PBE, the Alexandria database).

Cell and atoms, written as CIF:
```
data_Bi4SbSe3
_cell_length_a 5.9768
_cell_length_b 10.2265
_cell_length_c 9.0371
_cell_angle_alpha 90.00
_cell_angle_beta 90.00
_cell_angle_gamma 90.00
_space_group_name_H-M_alt 'P m m n'
_space_group_IT_number 59
loop_
_space_group_symop_operation_xyz
'x,y,z'
'-x,-y,-z'
'-x+1/2,-y+1/2,z'
'x+1/2,y+1/2,-z'
'x+1/2,-y,-z'
'-x+1/2,y,z'
'-x,y+1/2,-z'
'x,-y+1/2,z'
loop_
_atom_site_label
_atom_site_type_symbol
_atom_site_fract_x
_atom_site_fract_y
_atom_site_fract_z
Bi1 Bi 0.2500 0.0584 0.1505
Bi2 Bi 0.2500 0.2500 0.8482
Bi3 Bi 0.2500 0.7500 0.5793
Sb1 Sb 0.2500 0.7500 0.2509
Se1 Se 0.2500 0.2500 0.3934
Se2 Se 0.2500 0.5428 0.8308
```



# Sm6Bi3SbSe2

A geometry-optimized Sm6Bi3SbSe2 structure (PBE, the Alexandria database).

Cell and atoms, written as CIF:
```
data_Sm6Bi3SbSe2
_cell_length_a 19.2688
_cell_length_b 4.4262
_cell_length_c 8.8439
_cell_angle_alpha 90.00
_cell_angle_beta 103.37
_cell_angle_gamma 90.00
_space_group_name_H-M_alt 'C 1 2/m 1'
_space_group_IT_number 12
loop_
_space_group_symop_operation_xyz
'x,y,z'
'-x,-y,-z'
'-x,y,-z'
'x,-y,z'
'x+1/2,y+1/2,z'
'-x+1/2,-y+1/2,-z'
'-x+1/2,y+1/2,-z'
'x+1/2,-y+1/2,z'
loop_
_atom_site_label
_atom_site_type_symbol
_atom_site_fract_x
_atom_site_fract_y
_atom_site_fract_z
Sm1 Sm 0.0057 0.0000 0.2487
Sm2 Sm 0.1667 0.5000 0.0934
Sm3 Sm 0.1704 0.5000 0.5741
Bi1 Bi 0.0000 0.5000 0.5000
Bi2 Bi 0.1649 0.0000 0.8309
Sb1 Sb 0.0000 0.5000 0.0000
Se1 Se 0.1684 0.0000 0.3349
```



# Sm6BiSb2Se3

A geometry-optimized Sm6BiSb2Se3 structure (PBE, the Alexandria database).

Cell and atoms, written as CIF:
```
data_Sm6BiSb2Se3
_cell_length_a 18.9305
_cell_length_b 4.3476
_cell_length_c 8.6715
_cell_angle_alpha 90.00
_cell_angle_beta 103.18
_cell_angle_gamma 90.00
_space_group_name_H-M_alt 'C 1 2/m 1'
_space_group_IT_number 12
loop_
_space_group_symop_operation_xyz
'x,y,z'
'-x,-y,-z'
'-x,y,-z'
'x,-y,z'
'x+1/2,y+1/2,z'
'-x+1/2,-y+1/2,-z'
'-x+1/2,y+1/2,-z'
'x+1/2,-y+1/2,z'
loop_
_atom_site_label
_atom_site_type_symbol
_atom_site_fract_x
_atom_site_fract_y
_atom_site_fract_z
Sm1 Sm 0.0023 0.0000 0.2375
Sm2 Sm 0.1646 0.5000 0.0883
Sm3 Sm 0.1716 0.5000 0.5788
Bi1 Bi 0.0000 0.5000 0.5000
Sb1 Sb 0.1666 0.0000 0.8324
Se1 Se 0.0000 0.5000 0.0000
Se2 Se 0.1659 0.0000 0.3326
```



# Sm6Bi2SbSe3

A geometry-optimized Sm6Bi2SbSe3 structure (PBE, the Alexandria database).

Cell and atoms, written as CIF:
```
data_Sm6Bi2SbSe3
_cell_length_a 19.0024
_cell_length_b 4.3571
_cell_length_c 8.7060
_cell_angle_alpha 90.00
_cell_angle_beta 103.31
_cell_angle_gamma 90.00
_space_group_name_H-M_alt 'C 1 2/m 1'
_space_group_IT_number 12
loop_
_space_group_symop_operation_xyz
'x,y,z'
'-x,-y,-z'
'-x,y,-z'
'x,-y,z'
'x+1/2,y+1/2,z'
'-x+1/2,-y+1/2,-z'
'-x+1/2,y+1/2,-z'
'x+1/2,-y+1/2,z'
loop_
_atom_site_label
_atom_site_type_symbol
_atom_site_fract_x
_atom_site_fract_y
_atom_site_fract_z
Sm1 Sm 0.0045 0.0000 0.2462
Sm2 Sm 0.1616 0.5000 0.0950
Sm3 Sm 0.1685 0.5000 0.5716
Bi1 Bi 0.1669 0.0000 0.8345
Sb1 Sb 0.0000 0.5000 0.5000
Se1 Se 0.0000 0.5000 0.0000
Se2 Se 0.1674 0.0000 0.3342
```



# Sm4Bi2SbSe

A geometry-optimized Sm4Bi2SbSe structure (PBE, the Alexandria database).

Cell and atoms, written as CIF:
```
data_Sm4Bi2SbSe
_cell_length_a 7.6900
_cell_length_b 4.4502
_cell_length_c 7.7073
_cell_angle_alpha 90.00
_cell_angle_beta 109.45
_cell_angle_gamma 90.00
_space_group_name_H-M_alt 'P 1 2/m 1'
_space_group_IT_number 10
loop_
_space_group_symop_operation_xyz
'x,y,z'
'-x,-y,-z'
'-x,y,-z'
'x,-y,z'
loop_
_atom_site_label
_atom_site_type_symbol
_atom_site_fract_x
_atom_site_fract_y
_atom_site_fract_z
Sm1 Sm 0.2429 0.0000 0.2388
Sm2 Sm 0.2491 0.5000 0.7594
Bi1 Bi 0.0000 0.0000 0.5000
Bi2 Bi 0.5000 0.5000 0.5000
Sb1 Sb 0.5000 0.0000 0.0000
Se1 Se 0.0000 0.5000 0.0000
```



# Sr2BiSbSe5

A geometry-optimized Sr2BiSbSe5 structure (PBE, the Alexandria database).

Cell and atoms, written as CIF:
```
data_Sr2BiSbSe5
_cell_length_a 4.3268
_cell_length_b 18.3115
_cell_length_c 13.7744
_cell_angle_alpha 90.00
_cell_angle_beta 90.00
_cell_angle_gamma 90.00
_space_group_name_H-M_alt 'C m c 21'
_space_group_IT_number 36
loop_
_space_group_symop_operation_xyz
'x,y,z'
'-x,-y,z+1/2'
'-x,y,z'
'x,-y,z+1/2'
'x+1/2,y+1/2,z'
'-x+1/2,-y+1/2,z+1/2'
'-x+1/2,y+1/2,z'
'x+1/2,-y+1/2,z+1/2'
loop_
_atom_site_label
_atom_site_type_symbol
_atom_site_fract_x
_atom_site_fract_y
_atom_site_fract_z
Sr1 Sr 0.0000 0.0988 0.0000
Sr2 Sr 0.0000 0.1303 0.6456
Bi1 Bi 0.0000 0.2221 0.3731
Sb1 Sb 0.0000 0.4530 0.7894
Se1 Se 0.0000 0.0641 0.4161
Se2 Se 0.0000 0.2678 0.0228
Se3 Se 0.0000 0.3123 0.7274
Se4 Se 0.0000 0.3767 0.3285
Se5 Se 0.0000 0.4980 0.0997
```



# Tb6Bi2SbSe3

A geometry-optimized Tb6Bi2SbSe3 structure (PBE, the Alexandria database).

Cell and atoms, written as CIF:
```
data_Tb6Bi2SbSe3
_cell_length_a 18.6898
_cell_length_b 4.2834
_cell_length_c 8.5641
_cell_angle_alpha 90.00
_cell_angle_beta 103.37
_cell_angle_gamma 90.00
_space_group_name_H-M_alt 'C 1 2/m 1'
_space_group_IT_number 12
loop_
_space_group_symop_operation_xyz
'x,y,z'
'-x,-y,-z'
'-x,y,-z'
'x,-y,z'
'x+1/2,y+1/2,z'
'-x+1/2,-y+1/2,-z'
'-x+1/2,y+1/2,-z'
'x+1/2,-y+1/2,z'
loop_
_atom_site_label
_atom_site_type_symbol
_atom_site_fract_x
_atom_site_fract_y
_atom_site_fract_z
Tb1 Tb 0.0047 0.0000 0.2459
Tb2 Tb 0.1613 0.5000 0.0958
Tb3 Tb 0.1687 0.5000 0.5711
Bi1 Bi 0.1670 0.0000 0.8347
Sb1 Sb 0.0000 0.5000 0.5000
Se1 Se 0.0000 0.5000 0.0000
Se2 Se 0.1674 0.0000 0.3344
```



# Tb6Bi2Sb3Se

A geometry-optimized Tb6Bi2Sb3Se structure (PBE, the Alexandria database).

Cell and atoms, written as CIF:
```
data_Tb6Bi2Sb3Se
_cell_length_a 19.0855
_cell_length_b 4.3906
_cell_length_c 8.7842
_cell_angle_alpha 90.00
_cell_angle_beta 103.16
_cell_angle_gamma 90.00
_space_group_name_H-M_alt 'C 1 2/m 1'
_space_group_IT_number 12
loop_
_space_group_symop_operation_xyz
'x,y,z'
'-x,-y,-z'
'-x,y,-z'
'x,-y,z'
'x+1/2,y+1/2,z'
'-x+1/2,-y+1/2,-z'
'-x+1/2,y+1/2,-z'
'x+1/2,-y+1/2,z'
loop_
_atom_site_label
_atom_site_type_symbol
_atom_site_fract_x
_atom_site_fract_y
_atom_site_fract_z
Tb1 Tb 0.0025 0.0000 0.2552
Tb2 Tb 0.1625 0.5000 0.5769
Tb3 Tb 0.1647 0.5000 0.0874
Bi1 Bi 0.1657 0.0000 0.8321
Sb1 Sb 0.0000 0.5000 0.0000
Sb2 Sb 0.1681 0.0000 0.3355
Se1 Se 0.0000 0.5000 0.5000
```



Energy relative to the elements, uncorrected values, unit eV per atom, following the record order: -0.1781; 0.0680; -0.0834; -1.2502; -1.4514; -1.4004; -1.2071; -1.0310; -1.3565; -1.1643.